VGeO2: optimized geometry, PBE with a Hubbard U.

Properties
Its energy is -83.8 eV for the cell shown. The density of states at the Fermi level is 0.98 states/eV/f.u.

Unit cell a=3.0245 b=3.0245 c=19.3698 alpha=90.00 beta=90.00 gamma=120.00
Space group R-3m (No. 166, hexagonal axes)
One atom of each set of equivalent atoms:
V 0.0000 0.0000 0.0000 [3 per cell]
Ge 0.0000 0.0000 0.5000 [3 per cell]
O 0.0000 0.0000 0.3885 [6 per cell]